The following is a DFT calculation (PBE-GGA) of an optimized crystal structure of Y5Bi4Pb.

Values from the calculation:
As for the space-group type: I4/m. For the formation energy, the calculation gives -790 meV per atom.

Cell: 6.332 7.756 7.756 Å, 80.41 65.91 65.91°
Positions (direct):
Bi 0.600 0.601 0.202
Y 0.901 0.399 0.802
Y 0.299 0.802 0.601
Y 0.101 0.601 0.198
Y 0.502 0.000 0.000
Pb 0.002 0.000 0.000
Bi 0.200 0.202 0.399
Y 0.702 0.198 0.399
Bi 0.402 0.399 0.798
Bi 0.801 0.798 0.601


The following is a DFT calculation (PBE-GGA) of an optimized crystal structure of LiHoThCo.

Values from the calculation:
As for the space-group type: F-43m. For the formation energy, the calculation gives 2 meV per atom.

Cell: 4.932 4.932 4.932 Å, 60.00 60.00 60.00°
Site moments in Bohr magnetons follow the coordinates.
Positions (direct):
Th 0.250 0.250 0.250  -0.02
Li 0.000 0.000 0.000  0.01
Ho 0.750 0.750 0.750  -0.02
Co 0.500 0.500 0.500  0.19


The following is a DFT calculation (PBE-GGA) of an optimized crystal structure of Nd2Tl3PbSe6.

Values from the calculation:
For the raw formation energy, the calculation gives -1.03 eV/atom. As for the space-group type: C2/m.

Cell: 7.566 7.566 7.890 Å, 99.08 99.08 120.04°
Positions (direct):
Tl 0.500 0.500 0.500
Se 0.580 0.926 0.778
Se 0.926 0.580 0.778
Se 0.420 0.074 0.222
Pb 0.000 0.000 0.000
Nd 0.667 0.333 0.000
Se 0.074 0.420 0.222
Tl 0.165 0.835 0.500
Se 0.726 0.726 0.219
Tl 0.835 0.165 0.500
Se 0.274 0.274 0.781
Nd 0.333 0.667 0.000


Short version: total energy = -5.945 -5.253 -4.471 eV per atom, in the order given.